# SiNiCl2, optimized geometry, DFT PBE
data_SiNiCl2
_chemical_formula_sum 'Si1 Ni1 Cl2'
_cell_length_a 3.002
_cell_length_b 3.015
_cell_length_c 8.767
_cell_angle_alpha 90.00
_cell_angle_beta 90.00
_cell_angle_gamma 90.00
_symmetry_space_group_name_H-M 'P m m 2'
_symmetry_Int_Tables_number 25
_symmetry_space_group_name_Hall 'P 2 -2'
loop_
_atom_site_label
_atom_site_type_symbol
_atom_site_fract_x
_atom_site_fract_y
_atom_site_fract_z
Si1 Si 0.000 0.000 0.000
Ni1 Ni 0.500 0.500 0.878
Cl1 Cl 0.000 0.000 0.231
Cl2 Cl 0.500 0.500 0.627
# total magnetization = 0.0000 μB/atom
# E_form (uncorrected) = -358 meV/atom
# distance to the lowest polymorph of the same formula = 37 kJ/mol of formula units